Material: MnGa2Te4
Method: DFT, PBE
State: optimized geometry

```
7
Lattice="-2.464 -5.469 0.255 1.635 -0.468 5.758 -5.423 2.525 1.745" Properties=species:S:1:pos:R:3 pbc="T T T"
Ga -1.894 1.028 3.751
Ga -3.943 -1.472 1.000
Te -5.498 -2.204 3.060
Te -1.896 -3.745 4.816
Te -1.512 -0.991 2.027
Te -3.597 0.116 5.613
Mn 0.000 0.000 0.000
```

Summary:
Space group: P-42m, No. 111
Formation energy from raw total energies: -0.267 eV/atom
Spin magnetization: 4.97 μB per formula unit
Total energy: -0.3114 Ry per atom

=====

Material: MnGaTe2
Method: DFT, PBE
State: optimized geometry

```
4
Lattice="2.093 -5.391 7.788 3.485 -7.495 5.077 5.485 -4.707 6.469" Properties=species:S:1:pos:R:3 pbc="T T T"
Te 9.843 -15.654 17.203
Te 1.220 -1.940 2.132
Ga 0.000 0.000 0.000
Mn 5.531 -8.797 9.667
```

Summary:
Space group: R-3m, No. 166
Formation energy from raw total energies: -0.007 eV/atom
Spin magnetization: 3.01 μB per formula unit
Total energy: -0.3401 Ry per atom

=====

Material: MnGaTe3
Method: DFT, PBE
State: optimized geometry

```
10
Lattice="4.065 0.000 0.000 -2.032 6.932 -0.651 0.000 0.086 10.945" Properties=species:S:1:pos:R:3 pbc="T T T"
Ga 0.000 0.914 3.130
Ga 2.032 6.103 7.164
Te 2.032 5.179 2.417
Te 0.000 1.941 0.553
Te 0.000 1.839 7.877
Te 2.032 1.923 4.415
Te 2.032 5.077 9.741
Te 0.000 5.095 5.878
Mn 0.000 4.747 0.641
Mn 2.032 2.271 9.653
```

Summary:
Space group: C2/m, No. 12
Formation energy from raw total energies: -0.173 eV/atom
Spin magnetization: 4.04 μB per formula unit
Total energy: -0.3305 Ry per atom
ΔE to the lowest computed polymorph: 0.027 eV/atom